# 1
Compound: CoWCl2
Source: Alexandria
Functional: meta-GGA SCAN
Structure: PBEsol geometry

abc: 2.967 4.269 4.269
angles: 90.00 90.00 90.00
Last column: magnetic moment on the atom in μB.
Positions (direct):
Cl  0.000  0.500  0.000  0.08
W  0.500  0.000  0.000  -0.04
Cl  0.000  0.000  0.500  0.08
Co  0.500  0.500  0.500  1.79

Computed properties:
Relative energy among the computed polymorphs in meV/atom: 1393.8
Formation energy without anion corrections in meV/atom: 1236
Volume in Å³/f.u.: 54.1
D(E_F) in states/eV/atom: 0.9907
Total DFT energy (no corrections) in eV/atom: -24.501



# 2
Compound: Rb2CaTaNb
Source: Alexandria
Functional: meta-GGA SCAN
Structure: PBEsol geometry

abc: 6.073 6.433 6.433
angles: 90.00 90.00 90.00
Last column: magnetic moment on the atom in μB.
Positions (direct):
Ca  0.500  0.000  0.000  0.17
Ta  0.000  0.000  0.000  2.49
Rb  0.000  0.500  0.000  0.09
Nb  0.500  0.500  0.500  3.00
Rb  0.000  0.000  0.500  0.09

Computed properties:
Volume in Å³/f.u.: 251.3
Calculated formation energy in eV per atom: 2.2110
D(E_F) in states/eV/atom: 1.7483
Total DFT energy (no corrections) in eV/atom: -27.960